Material: Dy8Bi2Ir3
Method: DFT, PBE
State: relaxed

## Properties
* N(E_F): 6.416 states/eV per cell
* ΔE_f: -59.2 kJ/mol of atoms
* symmetry: C2/m

Cell: 8.984 8.984 6.861 Å, 104.42 104.42 53.06°
Fractional coordinates of all 13 atoms:
1 Dy 0.089 0.089 0.379
2 Dy 0.158 0.636 0.106
3 Dy 0.364 0.842 0.894
4 Dy 0.404 0.404 0.596
5 Dy 0.596 0.596 0.404
6 Dy 0.636 0.158 0.106
7 Dy 0.842 0.364 0.894
8 Dy 0.911 0.911 0.621
9 Bi 0.242 0.242 0.168
10 Bi 0.758 0.758 0.832
11 Ir 0.246 0.754 0.500
12 Ir 0.500 0.500 0.000
13 Ir 0.754 0.246 0.500

---

Material: Dy5Bi5Ir
Method: DFT, PBE
State: relaxed

## Properties
* N(E_F): 6.030 states/eV per cell
* ΔE_f: -52.2 kJ/mol of atoms
* symmetry: C2/m

Cell: 7.317 7.317 9.633 Å, 115.13 115.13 49.98°
Fractional coordinates of all 11 atoms:
1 Dy 0.000 0.000 0.000
2 Dy 0.322 0.322 0.705
3 Dy 0.349 0.349 0.121
4 Dy 0.651 0.651 0.879
5 Dy 0.678 0.678 0.295
6 Bi 0.114 0.114 0.778
7 Bi 0.217 0.217 0.336
8 Bi 0.500 0.500 0.500
9 Bi 0.783 0.783 0.664
10 Bi 0.886 0.886 0.222
11 Ir 0.500 0.500 0.000

---

Material: Dy4BiIr2
Method: DFT, PBE
State: relaxed

## Properties
* N(E_F): 7.889 states/eV per cell
* ΔE_f: -59.0 kJ/mol of atoms
* symmetry: Imma

Cell: 8.125 8.125 8.125 Å, 111.18 111.08 106.20°
Fractional coordinates of all 14 atoms:
1 Dy 0.228 0.295 0.566
2 Dy 0.228 0.662 0.934
3 Dy 0.295 0.228 0.067
4 Dy 0.338 0.772 0.567
5 Dy 0.662 0.228 0.433
6 Dy 0.705 0.772 0.933
7 Dy 0.772 0.338 0.066
8 Dy 0.772 0.705 0.434
9 Bi 0.124 0.874 0.250
10 Bi 0.876 0.126 0.750
11 Ir 0.000 0.500 0.500
12 Ir 0.500 0.000 0.000
13 Ir 0.500 0.500 0.000
14 Ir 0.500 0.500 0.500

---

Material: Dy2BiIr
Method: DFT, PBE
State: relaxed

## Properties
* N(E_F): 2.723 states/eV per cell
* ΔE_f: -61.8 kJ/mol of atoms
* symmetry: C2/m

Cell: 4.076 4.076 8.232 Å, 101.72 101.72 55.57°
Fractional coordinates of all 4 atoms:
1 Dy 0.231 0.231 0.196
2 Dy 0.769 0.769 0.804
3 Bi 0.000 0.000 0.500
4 Ir 0.500 0.500 0.000

---

Material: Dy6Bi3Ir
Method: DFT, PBE
State: relaxed

## Properties
* N(E_F): 19.049 states/eV per cell
* ΔE_f: -46.9 kJ/mol of atoms
* symmetry: Cmc2_1

Cell: 9.311 9.311 7.591 Å, 90.00 90.00 105.09°
Fractional coordinates of all 20 atoms:
1 Dy 0.000 0.000 0.000
2 Dy 0.000 0.000 0.500
3 Dy 0.095 0.594 0.421
4 Dy 0.245 0.755 0.954
5 Dy 0.281 0.373 0.900
6 Dy 0.373 0.281 0.400
7 Dy 0.406 0.905 0.421
8 Dy 0.594 0.095 0.921
9 Dy 0.627 0.719 0.900
10 Dy 0.719 0.627 0.400
11 Dy 0.755 0.245 0.454
12 Dy 0.905 0.406 0.921
13 Bi 0.072 0.292 0.235
14 Bi 0.292 0.072 0.735
15 Bi 0.404 0.596 0.594
16 Bi 0.596 0.404 0.094
17 Bi 0.708 0.928 0.235
18 Bi 0.928 0.708 0.735
19 Ir 0.142 0.858 0.248
20 Ir 0.858 0.142 0.748

---

Material: Dy12Bi6Ir
Method: DFT, PBE
State: relaxed

## Properties
* N(E_F): 12.741 states/eV per cell
* ΔE_f: -49.6 kJ/mol of atoms
* symmetry: R-3

Cell: 8.691 8.691 8.691 Å, 99.82 99.82 99.82°
Fractional coordinates of all 19 atoms:
1 Dy 0.006 0.940 0.689
2 Dy 0.060 0.311 0.994
3 Dy 0.202 0.541 0.412
4 Dy 0.311 0.994 0.060
5 Dy 0.412 0.202 0.541
6 Dy 0.459 0.588 0.798
7 Dy 0.541 0.412 0.202
8 Dy 0.588 0.798 0.459
9 Dy 0.689 0.006 0.940
10 Dy 0.798 0.459 0.588
11 Dy 0.940 0.689 0.006
12 Dy 0.994 0.060 0.311
13 Bi 0.117 0.319 0.649
14 Bi 0.319 0.649 0.117
15 Bi 0.351 0.883 0.681
16 Bi 0.649 0.117 0.319
17 Bi 0.681 0.351 0.883
18 Bi 0.883 0.681 0.351
19 Ir 0.000 0.000 0.000

---

Material: DyBiIr4
Method: DFT, PBE
State: relaxed

## Properties
* N(E_F): 5.363 states/eV per cell
* ΔE_f: -26.6 kJ/mol of atoms
* symmetry: F-43m

Cell: 5.386 5.386 5.386 Å, 60.00 60.00 60.00°
Fractional coordinates of all 6 atoms:
1 Dy 0.000 0.000 0.000
2 Bi 0.750 0.750 0.750
3 Ir 0.375 0.375 0.375
4 Ir 0.375 0.375 0.875
5 Ir 0.375 0.875 0.375
6 Ir 0.875 0.375 0.375

---

Material: Dy3BiIr
Method: DFT, PBE
State: relaxed

## Properties
* N(E_F): 12.007 states/eV per cell
* ΔE_f: -73.7 kJ/mol of atoms
* symmetry: Pnma

Cell: 7.783 4.333 16.555 Å, 90.00 90.00 90.00°
Fractional coordinates of all 20 atoms:
1 Dy 0.015 0.250 0.090
2 Dy 0.135 0.750 0.450
3 Dy 0.175 0.250 0.703
4 Dy 0.325 0.750 0.203
5 Dy 0.365 0.250 0.950
6 Dy 0.485 0.750 0.590
7 Dy 0.515 0.250 0.410
8 Dy 0.635 0.750 0.050
9 Dy 0.675 0.250 0.797
10 Dy 0.825 0.750 0.297
11 Dy 0.865 0.250 0.550
12 Dy 0.985 0.750 0.910
13 Bi 0.129 0.250 0.300
14 Bi 0.371 0.750 0.800
15 Bi 0.629 0.250 0.200
16 Bi 0.871 0.750 0.700
17 Ir 0.237 0.750 0.042
18 Ir 0.263 0.250 0.542
19 Ir 0.737 0.750 0.458
20 Ir 0.763 0.250 0.958

---

Material: Dy6BiIr
Method: DFT, PBE
State: relaxed

## Properties
* N(E_F): 10.503 states/eV per cell
* ΔE_f: -25.6 kJ/mol of atoms
* symmetry: R-3

Cell: 7.735 7.735 7.735 Å, 52.63 52.63 52.63°
Fractional coordinates of all 8 atoms:
1 Dy 0.040 0.772 0.418
2 Dy 0.228 0.582 0.960
3 Dy 0.418 0.040 0.772
4 Dy 0.582 0.960 0.228
5 Dy 0.772 0.418 0.040
6 Dy 0.960 0.228 0.582
7 Bi 0.500 0.500 0.500
8 Ir 0.000 0.000 0.000

---

Material: DyBiIr
Method: DFT, PBE
State: relaxed

## Properties
* N(E_F): 4.212 states/eV per cell
* ΔE_f: -45.9 kJ/mol of atoms
* symmetry: I4/mmm

Cell: 7.759 7.759 7.759 Å, 146.27 146.27 48.45°
Fractional coordinates of all 6 atoms:
1 Dy 0.135 0.135 0.000
2 Dy 0.865 0.865 0.000
3 Bi 0.368 0.368 0.000
4 Bi 0.632 0.632 0.000
5 Ir 0.000 0.500 0.500
6 Ir 0.500 0.000 0.500

---

Material: Dy8Bi2Ir3
Method: DFT, PBE
State: relaxed

## Properties
* N(E_F): 6.704 states/eV per cell
* ΔE_f: -63.9 kJ/mol of atoms
* symmetry: P2/m

Cell: 9.120 4.857 9.122 Å, 90.00 115.17 90.00°
Fractional coordinates of all 13 atoms:
1 Dy 0.105 0.000 0.395
2 Dy 0.146 0.500 0.863
3 Dy 0.362 0.500 0.647
4 Dy 0.390 0.000 0.110
5 Dy 0.610 0.000 0.890
6 Dy 0.638 0.500 0.353
7 Dy 0.854 0.500 0.137
8 Dy 0.895 0.000 0.605
9 Bi 0.244 0.500 0.257
10 Bi 0.756 0.500 0.743
11 Ir 0.250 0.000 0.750
12 Ir 0.500 0.500 0.000
13 Ir 0.750 0.000 0.250

---

Material: Dy2BiIr
Method: DFT, PBE
State: relaxed

## Properties
* N(E_F): 1.689 states/eV per cell
* ΔE_f: -70.0 kJ/mol of atoms
* symmetry: P4/mmm

Cell: 3.497 3.497 8.147 Å, 90.00 90.00 90.00°
Fractional coordinates of all 4 atoms:
1 Dy 0.000 0.000 0.202
2 Dy 0.000 0.000 0.798
3 Bi 0.500 0.500 0.500
4 Ir 0.500 0.500 0.000